# 1
{
  "formula": "Nd3SmS6",
  "functional": "PBE",
  "state": "optimized geometry",
  "space_group": "No. 11",
  "e_above_lowest_polymorph_mev_per_atom": 7,
  "e_tot_ev_per_atom": -6.409,
  "e_form_raw_mev_per_atom": -2030,
  "magnetic_moment_mub_per_cell": 0.00,
  "lattice_angstrom": [[11.335, 0.000, 0.000], [0.000, 4.097, 0.000], [-3.607, 0.000, 11.071]],
  "species": ["Nd", "Nd", "Nd", "Nd", "Nd", "Nd", "Sm", "Sm", "S", "S", "S", "S", "S", "S", "S", "S", "S", "S", "S", "S"],
  "frac_coords": [[0.071, 0.250, 0.170], [0.183, 0.750, 0.505], [0.339, 0.250, 0.917], [0.661, 0.750, 0.083], [0.817, 0.250, 0.495], [0.929, 0.750, 0.830], [0.457, 0.250, 0.313], [0.543, 0.750, 0.687], [0.023, 0.250, 0.388], [0.098, 0.250, 0.933], [0.250, 0.750, 0.279], [0.314, 0.750, 0.751], [0.391, 0.250, 0.539], [0.417, 0.750, 0.100], [0.583, 0.250, 0.900], [0.609, 0.750, 0.461], [0.686, 0.250, 0.249], [0.750, 0.250, 0.721], [0.902, 0.750, 0.067], [0.977, 0.750, 0.612]]
}

---

# 2
{
  "formula": "Pm3Co2",
  "functional": "PBE",
  "state": "optimized geometry",
  "dos_at_fermi_per_ev_fu": 6.1,
  "space_group": "No. 65",
  "e_above_lowest_polymorph_mev_per_atom": 9,
  "e_tot_ev_per_atom": -5.738,
  "e_form_ev_per_atom": -0.05,
  "magnetic_moment_mub_per_cell": 1.76,
  "lattice_angstrom": [[4.032, 0.000, 0.000], [0.000, 14.598, 0.000], [0.000, 0.000, 4.133]],
  "species": ["Pm", "Pm", "Pm", "Pm", "Pm", "Pm", "Co", "Co", "Co", "Co"],
  "frac_coords": [[0.000, 0.000, 0.000], [0.000, 0.353, 0.500], [0.000, 0.647, 0.500], [0.500, 0.147, 0.500], [0.500, 0.500, 0.000], [0.500, 0.853, 0.500], [0.000, 0.212, 0.000], [0.000, 0.788, 0.000], [0.500, 0.288, 0.000], [0.500, 0.712, 0.000]]
}

---

# 3
{
  "formula": "Zr2TlTe4",
  "functional": "PBE",
  "state": "optimized geometry",
  "dos_at_fermi_per_ev_fu": 3.3,
  "space_group": "No. 166",
  "e_above_lowest_polymorph_mev_per_atom": 0,
  "e_tot_ev_per_atom": -5.328,
  "e_form_raw_mev_per_atom": -753,
  "magnetic_moment_mub_per_cell": 0.00,
  "lattice_angstrom": [[2.012, 1.162, 15.645], [-2.012, 1.162, 15.645], [0.000, -2.323, 15.645]],
  "species": ["Zr", "Zr", "Tl", "Te", "Te", "Te", "Te"],
  "frac_coords": [[0.073, 0.073, 0.073], [0.927, 0.927, 0.927], [0.500, 0.500, 0.500], [0.221, 0.221, 0.221], [0.369, 0.369, 0.369], [0.631, 0.631, 0.631], [0.779, 0.779, 0.779]]
}